ScFeRhF2 (PBE+U, optimized geometry); total magnetization = 3.1 μB/f.u.; raw total energy = -5.01 eV per atom
1.0
4.214 0.000 0.000
0.000 4.937 0.000
0.000 0.000 4.214
Rh Sc F Fe
1 1 2 1
direct
0.000 0.000 0.000 Rh
0.500 0.500 0.500 Sc
0.500 0.000 0.000 F
0.000 0.000 0.500 F
0.000 0.500 0.000 Fe